[1]
CuPd2Pt3: relaxed, GGA-PBE.

Summary:
total energy	-5.371	eV/atom
E_form	0.063	eV per atom
offset from the most stable computed form	0.83	eV/f.u.

```
data_CuPd2Pt3
_chemical_formula_sum 'Cu4 Pd8 Pt12'
_cell_length_a 8.0915
_cell_length_b 8.7314
_cell_length_c 5.3364
_cell_angle_alpha 90.00
_cell_angle_beta 90.00
_cell_angle_gamma 90.00
_symmetry_space_group_name_H-M 'C m c m'
_symmetry_Int_Tables_number 63
_symmetry_space_group_name_Hall '-C 2c 2'
loop_
_atom_site_label
_atom_site_type_symbol
_atom_site_fract_x
_atom_site_fract_y
_atom_site_fract_z
Cu1 Cu 0.0000 0.2298 0.2500
Pd1 Pd 0.1693 0.2696 0.7500
Pt1 Pt 0.0000 0.5000 0.0000
Pt2 Pt 0.1632 0.0000 0.0000
```

[2]
NaSiBAu2: relaxed, GGA-PBE.

Summary:
total energy	-3.758	eV/atom
formation energy (no corrections)	0.237	eV/atom

```
data_NaSiBAu2
_chemical_formula_sum 'Na1 Si1 B1 Au2'
_cell_length_a 4.5293
_cell_length_b 4.5293
_cell_length_c 4.1700
_cell_angle_alpha 90.00
_cell_angle_beta 90.00
_cell_angle_gamma 90.00
_symmetry_space_group_name_H-M 'P 4/m m m'
_symmetry_Int_Tables_number 123
_symmetry_space_group_name_Hall '-P 4 2'
loop_
_atom_site_label
_atom_site_type_symbol
_atom_site_fract_x
_atom_site_fract_y
_atom_site_fract_z
Na1 Na 0.0000 0.0000 0.0000
Si1 Si 0.5000 0.5000 0.0000
B1 B 0.5000 0.5000 0.5000
Au1 Au 0.0000 0.5000 0.5000
```

[3]
ZnRh4W: relaxed, GGA-PBE.

Summary:
total energy	-7.063	eV/atom
E_form	0.209	eV per atom

```
data_ZnRh4W
_chemical_formula_sum 'Zn4 Rh16 W4'
_cell_length_a 7.1566
_cell_length_b 7.1566
_cell_length_c 7.1566
_cell_angle_alpha 90.00
_cell_angle_beta 90.00
_cell_angle_gamma 90.00
_symmetry_space_group_name_H-M 'F -4 3 m'
_symmetry_Int_Tables_number 216
_symmetry_space_group_name_Hall 'F -4 2 3'
loop_
_atom_site_label
_atom_site_type_symbol
_atom_site_fract_x
_atom_site_fract_y
_atom_site_fract_z
Zn1 Zn 0.0000 0.0000 0.0000
Rh1 Rh 0.1254 0.1254 0.6254
W1 W 0.2500 0.2500 0.2500
```